1.
Material: ZnCrO4
Method: DFT, GGA-PBEsol
State: optimized geometry

Geometry as CIF:
```
data_ZnCrO4
_symmetry_space_group_name_H-M 'P 1 21/c 1'
_symmetry_Int_Tables_number 14
_symmetry_space_group_name_Hall '-P 2ybc'
_cell_length_a 5.3336
_cell_length_b 8.2199
_cell_length_c 7.8791
_cell_angle_alpha 90.00
_cell_angle_beta 124.23
_cell_angle_gamma 90.00
loop_
_atom_site_label
_atom_site_type_symbol
_atom_site_fract_x
_atom_site_fract_y
_atom_site_fract_z
Zn1 Zn 0.1605 0.0559 0.3869
Cr1 Cr 0.3450 0.6853 0.6134
O1 O 0.1329 0.6451 0.0532
O2 O 0.1775 0.5627 0.4176
O3 O 0.3260 0.2378 0.8349
O4 O 0.4034 0.5915 0.8221
```

=====

2.
Material: ZnH4SeO6
Method: DFT, GGA-PBEsol
State: optimized geometry

Geometry as CIF:
```
data_ZnH4SeO6
_symmetry_space_group_name_H-M 'P b c a'
_symmetry_Int_Tables_number 61
_symmetry_space_group_name_Hall '-P 2ac 2ab'
_cell_length_a 8.9401
_cell_length_b 10.2352
_cell_length_c 10.2318
_cell_angle_alpha 90.00
_cell_angle_beta 90.00
_cell_angle_gamma 90.00
loop_
_atom_site_label
_atom_site_type_symbol
_atom_site_fract_x
_atom_site_fract_y
_atom_site_fract_z
Zn1 Zn 0.1623 0.1743 0.1255
H1 H 0.1244 0.5918 0.9574
H2 H 0.1713 0.5862 0.3199
H3 H 0.1824 0.1715 0.3684
H4 H 0.1900 0.0216 0.5515
Se1 Se 0.0327 0.6333 0.6547
O1 O 0.0068 0.5256 0.3596
O2 O 0.0105 0.6887 0.8063
O3 O 0.0837 0.2177 0.9426
O4 O 0.1590 0.5717 0.0466
O5 O 0.2099 0.6539 0.6066
O6 O 0.2212 0.1076 0.3022
```

=====

3.
# GGA-PBEsol CoHgRh3, optimized geometry
data_CoHgRh3
_symmetry_space_group_name_H-M 'P m -3 m'
_symmetry_Int_Tables_number 221
_symmetry_space_group_name_Hall '-P 4 2 3'
_cell_length_a 4.3985
_cell_length_b 4.3985
_cell_length_c 4.3985
_cell_angle_alpha 90.00
_cell_angle_beta 90.00
_cell_angle_gamma 90.00
loop_
_atom_site_label
_atom_site_type_symbol
_atom_site_fract_x
_atom_site_fract_y
_atom_site_fract_z
Co1 Co 0.0000 0.0000 0.0000
Hg1 Hg 0.5000 0.5000 0.5000
Rh1 Rh 0.0000 0.0000 0.5000
# DFT formation energy	1.00	eV per atom

=====

4.
Material: ScCoI3
Method: DFT, GGA-PBEsol
State: optimized geometry

Geometry as CIF:
```
data_ScCoI3
_symmetry_space_group_name_H-M 'P m -3 m'
_symmetry_Int_Tables_number 221
_symmetry_space_group_name_Hall '-P 4 2 3'
_cell_length_a 5.0984
_cell_length_b 5.0984
_cell_length_c 5.0984
_cell_angle_alpha 90.00
_cell_angle_beta 90.00
_cell_angle_gamma 90.00
loop_
_atom_site_label
_atom_site_type_symbol
_atom_site_fract_x
_atom_site_fract_y
_atom_site_fract_z
Sc1 Sc 0.0000 0.0000 0.0000
Co1 Co 0.5000 0.5000 0.5000
I1 I 0.0000 0.5000 0.5000
```

=====

5.
# GGA-PBEsol LaCoIr, optimized geometry
data_LaCoIr
_symmetry_space_group_name_H-M 'P -6 m 2'
_symmetry_Int_Tables_number 187
_symmetry_space_group_name_Hall 'P -6 2'
_cell_length_a 4.0752
_cell_length_b 4.0752
_cell_length_c 4.1771
_cell_angle_alpha 90.00
_cell_angle_beta 90.00
_cell_angle_gamma 120.00
loop_
_atom_site_label
_atom_site_type_symbol
_atom_site_fract_x
_atom_site_fract_y
_atom_site_fract_z
La1 La 0.0000 0.0000 0.0000
Co1 Co 0.3333 0.6667 0.5000
Ir1 Ir 0.6667 0.3333 0.5000
# DFT formation energy	-0.32	eV per atom

=====

6.
Material: HRuPt2Se
Method: DFT, GGA-PBEsol
State: optimized geometry

Geometry as CIF:
```
data_HRuPt2Se
_symmetry_space_group_name_H-M 'P 4/m m m'
_symmetry_Int_Tables_number 123
_symmetry_space_group_name_Hall '-P 4 2'
_cell_length_a 3.8039
_cell_length_b 3.8039
_cell_length_c 4.4461
_cell_angle_alpha 90.00
_cell_angle_beta 90.00
_cell_angle_gamma 90.00
loop_
_atom_site_label
_atom_site_type_symbol
_atom_site_fract_x
_atom_site_fract_y
_atom_site_fract_z
H1 H 0.0000 0.0000 0.0000
Ru1 Ru 0.5000 0.5000 0.5000
Pt1 Pt 0.0000 0.5000 0.0000
Se1 Se 0.0000 0.0000 0.5000
```

=====

| no. | DOS at the Fermi energy (states/eV/f.u.) | M_tot (μB/cell) | DFT total energy (eV per atom) |
| --- | --- | --- | --- |
| 1 | 0.00 | 0.00 | -7.077 |
| 2 | 0.00 | 0.00 | -5.169 |
| 3 | 4.39 | 3.69 | -5.544 |
| 4 | 5.46 | 0.56 | -3.849 |
| 5 | 2.10 | 1.15 | -7.953 |
| 6 | 5.24 | 0.00 | -5.768 |